(1)
Sn6As GGA-PBE optimized geometry; energy relative to the elements = 3.4 eV/f.u.; E_tot = -3.62 eV/atom
1.0
-4.0663 4.0663 4.0663
4.0663 -4.0663 4.0663
4.0663 4.0663 -4.0663
Sn As
6 1
Cartesian
4.0663 2.0332 0.0000
4.0663 0.0000 2.0332
2.0332 4.0663 0.0000
2.0332 0.0000 4.0663
0.0000 4.0663 2.0332
0.0000 2.0332 4.0663
0.0000 0.0000 0.0000

***

(2)
Pr2PaV2N7 GGA-PBE optimized geometry; raw formation energy = -13.1 eV per formula unit; E_tot = -9.06 eV/atom
1.0
2.7250 -2.7113 0.0000
2.7250 2.7113 0.0000
-2.5419 0.0000 10.0940
Pr Pa V N
2 1 2 7
Cartesian
0.1577 0.0000 3.7045
2.7503 0.0000 6.3895
0.0000 0.0000 0.0000
-0.0147 0.0000 8.1340
2.9228 0.0000 1.9600
1.3637 1.3390 1.7636
0.1790 0.0000 6.1641
1.5444 1.3390 8.3304
2.7250 0.0000 0.0000
1.3637 -1.3390 1.7636
2.7291 0.0000 3.9298
1.5444 -1.3390 8.3304

***

(3)
SrTc2Pb GGA-PBE optimized geometry; energy relative to the elements = 2.9 eV/f.u.; E_tot = -5.81 eV/atom
1.0
3.4365 0.0000 0.0000
0.0000 4.1229 0.0000
0.0000 0.0000 6.7369
Sr Tc Pb
1 2 1
Cartesian
0.0000 0.0000 0.0000
1.7183 2.0614 2.2334
1.7183 2.0614 4.5036
0.0000 0.0000 3.3685